# 1
Density functional theory data (PBE) for a geometry-optimized TbSmMg2 structure.

For the energy above the most stable polymorph in this dataset, the calculation gives 0.0037 eV per atom. The formation enthalpy at 0 K is -0.095 eV/atom. Its space group is P4/mmm, No. 123. As for the volume: 111.7 Å³/f.u.

a b c (Å): 3.823 5.405 5.405
angles (deg): 90.00 90.00 90.00
Positions (direct):
Mg (0.000, 0.000, 0.500)
Mg (0.000, 0.500, 0.000)
Sm (0.500, 0.500, 0.500)
Tb (0.500, 0.000, 0.000)

***

# 2
Density functional theory data (PBE) for a geometry-optimized LiHfTeI2 structure.

Its formation energy from raw total energies is 0.224 eV per atom. For the energy above the most stable polymorph in this dataset, the calculation gives 0.6555 eV per atom. Its space group is P4/mmm, No. 123. As for the volume: 141.6 Å³/f.u.

a b c (Å): 5.069 5.069 5.511
angles (deg): 90.00 90.00 90.00
Last column: magnetic moment on the atom in μB.
Positions (direct):
Hf (0.500, 0.500, 0.500)  0.54
I (0.000, 0.500, 0.000)  -0.04
I (0.500, 0.000, 0.000)  -0.04
Te (0.000, 0.000, 0.500)  -0.05
Li (0.000, 0.000, 0.000)  0.00

***

# 3
Density functional theory data (PBE) for a geometry-optimized NaGa3Si structure.

Its formation energy from raw total energies is 0.264 eV per atom. Its space group is Pm-3m, No. 221. As for the volume: 121.2 Å³/f.u.

a b c (Å): 4.948 4.948 4.948
angles (deg): 90.00 90.00 90.00
Positions (direct):
Si (0.000, 0.000, 0.000)
Ga (0.500, 0.000, 0.000)
Ga (0.000, 0.000, 0.500)
Ga (0.000, 0.500, 0.000)
Na (0.500, 0.500, 0.500)

***

# 4
Density functional theory data (PBE) for a geometry-optimized ErZnGaGe structure.

The formation enthalpy at 0 K is -0.458 eV/atom. Its space group is Pmmm, No. 47. As for the volume: 76.0 Å³/f.u.

a b c (Å): 4.137 4.403 4.173
angles (deg): 90.00 90.00 90.00
Positions (direct):
Ga (0.500, 0.500, 0.000)
Ge (0.500, 0.000, 0.500)
Zn (0.000, 0.500, 0.500)
Er (0.000, 0.000, 0.000)

***

# 5
Density functional theory data (PBE) for a geometry-optimized La2HgRu structure.

The formation enthalpy at 0 K is 0.001 eV/atom. Its space group is P4mm, No. 99. As for the volume: 96.9 Å³/f.u.

a b c (Å): 3.702 3.703 7.066
angles (deg): 90.00 90.00 90.00
Positions (direct):
Ru (0.000, 0.000, 0.502)
La (0.500, 0.500, 0.288)
La (0.000, 0.000, 0.987)
Hg (0.500, 0.500, 0.724)

***

# 6
Density functional theory data (PBE) for a geometry-optimized BaScBe2 structure.

For the energy above the most stable polymorph in this dataset, the calculation gives 0.3822 eV per atom. The formation enthalpy at 0 K is 0.625 eV/atom. Its space group is Fm-3m, No. 225. As for the volume: 91.3 Å³/f.u.

a b c (Å): 5.054 5.054 5.054
angles (deg): 60.00 60.00 60.00
Positions (direct):
Ba (0.500, 0.500, 0.500)
Be (0.750, 0.750, 0.750)
Be (0.250, 0.250, 0.250)
Sc (0.000, 0.000, 0.000)

***

# 7
Density functional theory data (PBE) for a geometry-optimized La2YTc structure.

For the energy above the most stable polymorph in this dataset, the calculation gives 0.3078 eV per atom. The formation enthalpy at 0 K is 0.268 eV/atom. Its space group is R-3m, No. 166. As for the volume: 117.4 Å³/f.u.

a b c (Å): 10.210 10.210 10.210
angles (deg): 20.79 20.79 20.79
Positions (direct):
Tc (0.250, 0.250, 0.250)
La (0.983, 0.983, 0.983)
La (0.517, 0.517, 0.517)
Y (0.750, 0.750, 0.750)

***

# 8
Density functional theory data (PBE) for a geometry-optimized Ge3BiAu3 structure.

The formation enthalpy at 0 K is 0.302 eV/atom. Its space group is Pm-3n, No. 223. As for the volume: 184.2 Å³/f.u.

a b c (Å): 7.168 7.168 7.168
angles (deg): 90.00 90.00 90.00
Positions (direct):
Ge (0.000, 0.500, 0.750)
Ge (0.000, 0.500, 0.250)
Ge (0.250, 0.000, 0.500)
Ge (0.500, 0.250, 0.000)
Ge (0.500, 0.750, 0.000)
Ge (0.750, 0.000, 0.500)
Au (0.750, 0.500, 0.000)
Au (0.250, 0.500, 0.000)
Au (0.000, 0.250, 0.500)
Au (0.500, 0.000, 0.250)
Au (0.000, 0.750, 0.500)
Au (0.500, 0.000, 0.750)
Bi (0.500, 0.500, 0.500)
Bi (0.000, 0.000, 0.000)

***

# 9
Density functional theory data (PBE) for a geometry-optimized ScAs structure.

The formation enthalpy at 0 K is -0.876 eV/atom. Its space group is F-43m, No. 216. As for the volume: 57.2 Å³/f.u.

a b c (Å): 6.115 6.115 6.115
angles (deg): 90.00 90.00 90.00
Positions (direct):
Sc (0.750, 0.250, 0.750)
Sc (0.250, 0.250, 0.250)
Sc (0.750, 0.750, 0.250)
Sc (0.250, 0.750, 0.750)
As (0.000, 0.000, 0.000)
As (0.500, 0.000, 0.500)
As (0.500, 0.500, 0.000)
As (0.000, 0.500, 0.500)

***

# 10
Density functional theory data (PBE) for a geometry-optimized Cs2RbSnHg structure.

For the energy above the most stable polymorph in this dataset, the calculation gives 0.0000 eV per atom. The formation enthalpy at 0 K is -0.035 eV/atom. Its space group is P4/mmm, No. 123. As for the volume: 303.0 Å³/f.u.

a b c (Å): 7.412 7.412 5.516
angles (deg): 90.00 90.00 90.00
Positions (direct):
Cs (0.000, 0.500, 0.000)
Cs (0.500, 0.000, 0.000)
Rb (0.500, 0.500, 0.500)
Sn (0.000, 0.000, 0.500)
Hg (0.000, 0.000, 0.000)

***

# 11
Density functional theory data (PBE) for a geometry-optimized Cu5Mo structure.

For the energy above the most stable polymorph in this dataset, the calculation gives 0.0000 eV per atom. The formation enthalpy at 0 K is 0.078 eV/atom. Its space group is P4/mmm, No. 123. As for the volume: 75.9 Å³/f.u.

a b c (Å): 11.378 2.582 2.582
angles (deg): 90.00 90.00 90.00
Positions (direct):
Mo (0.833, 0.500, 0.500)
Cu (0.492, 0.500, 0.500)
Cu (0.175, 0.500, 0.500)
Cu (0.652, 0.000, 0.000)
Cu (0.333, 0.000, 0.000)
Cu (0.015, 0.000, 0.000)

***

# 12
Density functional theory data (PBE) for a geometry-optimized Ba2AgBI structure.

Its formation energy from raw total energies is 0.508 eV per atom. Its space group is P4/mmm, No. 123. As for the volume: 195.4 Å³/f.u.

a b c (Å): 6.548 6.548 4.557
angles (deg): 90.00 90.00 90.00
Positions (direct):
I (0.000, 0.000, 0.000)
Ag (0.500, 0.500, 0.500)
B (0.000, 0.000, 0.500)
Ba (0.500, 0.000, 0.000)
Ba (0.000, 0.500, 0.000)